PmFeO4 | PBE+U | relaxed

Summary:
Its space group is P4/nmm (129). The calculated density is 5540 kg/m³. For the total energy, the calculation gives -80.4 eV/cell.

```
12
Lattice="-0.5650 -2.2042 2.8647 1.4948 -2.7824 -1.8461 10.6713 2.8709 4.3137" Properties=species:S:1:pos:R:3 pbc="T T T"
Fe 8.6879 1.3112 5.0585
O 4.1558 -0.4743 0.4547
Pm 7.4505 0.4121 1.7866
O 1.5275 0.4109 0.6175
Fe 2.4482 -0.9337 -0.2355
O 6.9804 0.8518 4.3683
Pm 3.6856 -0.0346 3.0364
O 5.8005 -1.0579 2.6662
O 5.3356 1.4354 2.1569
O 9.6086 -0.0334 4.2055
O 9.1437 2.4599 3.6962
O 1.9924 -2.0824 1.1268
```